Density functional theory data (PBE) for a geometry-optimized CaV3Cl structure.

Cell: 5.4833 5.4833 5.4833 Å, 90.00 90.00 90.00°
Closest atoms and distances in Å follow each position.
Space group Pm-3m (No. 221)
Symmetry-distinct sites (fractional):
Ca1 0.0000 0.0000 0.0000 x1  6 V 2.74
V1 0.0000 0.0000 0.5000 x3  2 Ca 2.74
Cl1 0.5000 0.5000 0.5000 x1  12 V 3.88

Summary:
As for the density of states at the Fermi level: 2.480 states/eV/atom. The value obtained for the raw formation energy is 2.17 eV/atom. The value obtained for the energy above the most stable polymorph in this dataset is 1574.1 meV/atom.